VASP calculation (PBE+U) on crystalline BaCaCo4O8 at its relaxed geometry.

Calculated values
As for the space-group type: P-31m. The calculation puts the volume at 14.2 Å³/atom. The calculation puts the density of states at the Fermi level at 0.2198 states/eV/atom. Its magnetic moment is 16.0 μB/cell. The total energy is -6.0037 eV per atom.

a b c (Å): 5.4199 5.4199 7.8229
angles (deg): 90.00 90.00 120.00
Each line ends with the local moment (μB).
Positions (direct):
Co: 0.3333 0.6667 0.2356  2.99
Co: 0.3333 0.6667 0.7644  2.99
Co: 0.6667 0.3333 0.7644  2.99
Co: 0.6667 0.3333 0.2356  2.99
O: 0.3333 0.6667 0.0000  0.53
O: 0.6671 0.6671 0.3014  0.38
O: 0.0000 0.6671 0.6986  0.38
O: 0.3329 0.3329 0.6986  0.38
O: 0.3329 0.0000 0.3014  0.38
O: 0.0000 0.3329 0.3014  0.38
O: 0.6667 0.3333 0.0000  0.53
O: 0.6671 0.0000 0.6986  0.38
Ca: 0.0000 0.0000 0.5000  0.03
Ba: 0.0000 0.0000 0.0000  -0.01